[1]
First-principles (PBE) data for Rb3Li2OsO6 after structural relaxation, as listed in the Alexandria database.

Lattice parameters (Å, degrees): 5.990 5.990 6.286 96.63 96.63 122.30
Last column: magnetic moment on the atom in μB.
Fractional coordinates of all 12 atoms:
Rb: 0.183 0.817 0.500  0.00
Rb: 0.817 0.183 0.500  0.00
Rb: 0.500 0.500 0.500  0.01
Li: 0.285 0.715 0.000  0.01
Li: 0.715 0.285 0.000  0.01
Os: 0.000 0.000 0.000  0.64
O: 0.928 0.653 0.846  0.07
O: 0.830 0.830 0.215  -0.01
O: 0.072 0.347 0.154  0.07
O: 0.653 0.928 0.846  0.07
O: 0.170 0.170 0.785  -0.01
O: 0.347 0.072 0.154  0.07

Summary:
* formation energy without anion corrections: -16.20 eV per formula unit
* calculated density: 4992 kg/m³
* density of states at the Fermi level: 2.7 states/eV/cell
* space group: No. 12

***

[2]
First-principles (PBE) data for Zr2Ga2Ir after structural relaxation, as listed in the Alexandria database.

Lattice parameters (Å, degrees): 3.875 5.376 5.376 62.98 68.87 68.87
Fractional coordinates of all 5 atoms:
Zr: 0.783 0.717 0.717
Zr: 0.217 0.283 0.283
Ga: 0.500 0.282 0.718
Ga: 0.500 0.718 0.282
Ir: 0.000 0.000 0.000

Summary:
* calculated density: 9443 kg/m³
* density of states at the Fermi level: 3.6 states/eV/cell
* formation energy from the elements: -0.6631 eV per atom
* space group: No. 71
* polymorph energy (0 for the lowest one): 34 kJ/mol of formula units

***

[3]
First-principles (PBE) data for Pu3Se3N after structural relaxation, as listed in the Alexandria database.

Lattice parameters (Å, degrees): 7.222 7.602 12.183 90.00 90.00 99.31
Last column: magnetic moment on the atom in μB.
Fractional coordinates of all 28 atoms:
Pu: 0.994 0.881 0.122  -4.88
Pu: 0.506 0.619 0.622  -4.88
Pu: 0.006 0.119 0.878  -4.88
Pu: 0.494 0.381 0.378  -4.88
Pu: 0.411 0.264 0.037  -5.10
Pu: 0.089 0.236 0.537  -5.10
Pu: 0.589 0.736 0.963  -5.10
Pu: 0.911 0.764 0.463  -5.10
Pu: 0.548 0.167 0.661  5.03
Pu: 0.952 0.333 0.161  5.03
Pu: 0.452 0.833 0.339  5.03
Pu: 0.048 0.667 0.839  5.03
Se: 0.774 0.385 0.931  0.02
Se: 0.726 0.115 0.431  0.02
Se: 0.226 0.615 0.069  0.02
Se: 0.274 0.885 0.569  0.02
Se: 0.864 0.474 0.642  0.04
Se: 0.636 0.026 0.142  0.04
Se: 0.136 0.526 0.358  0.04
Se: 0.364 0.974 0.858  0.04
Se: 0.331 0.423 0.815  0.06
Se: 0.169 0.077 0.315  0.06
Se: 0.669 0.577 0.185  0.06
Se: 0.831 0.923 0.685  0.06
N: 0.395 0.347 0.550  0.14
N: 0.105 0.153 0.050  0.14
N: 0.605 0.653 0.450  0.14
N: 0.895 0.847 0.950  0.14

Summary:
* formation energy without anion corrections: -9.31 eV per formula unit
* calculated density: 9890 kg/m³
* density of states at the Fermi level: 118.7 states/eV/cell
* space group: No. 14

***

The highest density of states at the Fermi level belongs to which entry?
Pu3Se3N

***

What is the calculated density in the third record?
9890 kg/m³

***

Among the records above, which one has the lowest density of states at the Fermi level?
Rb3Li2OsO6